Y2TiMn: optimized geometry, PBE.

Geometry as CIF:
```
data_Y2TiMn
_cell_length_a 6.997
_cell_length_b 6.997
_cell_length_c 6.997
_cell_angle_alpha 90.00
_cell_angle_beta 90.00
_cell_angle_gamma 90.00
_space_group_name_H-M_alt 'F m -3 m'
_space_group_IT_number 225
_space_group_name_Hall '-F 4 2 3'
loop_
_atom_site_label
_atom_site_fract_x
_atom_site_fract_y
_atom_site_fract_z
Y1 0.250 0.250 0.250
Ti1 0.000 0.000 0.000
Mn1 0.000 0.000 0.500
```

Properties
ΔE to the lowest computed polymorph = 0.0 meV/atom
Crystal system = cubic